Record 1
# GGA-PBE CaTaMn3, relaxed
data_CaTaMn3
_chemical_formula_sum 'Ca1 Ta1 Mn3'
_space_group_name_H-M_alt 'P m -3 m'
_space_group_IT_number 221
_space_group_name_Hall '-P 4 2 3'
_cell_length_a 4.8192
_cell_length_b 4.8192
_cell_length_c 4.8192
_cell_angle_alpha 90.00
_cell_angle_beta 90.00
_cell_angle_gamma 90.00
loop_
_atom_site_label
_atom_site_fract_x
_atom_site_fract_y
_atom_site_fract_z
Ca1 0.0000 0.0000 0.0000
Ta1 0.5000 0.5000 0.5000
Mn1 0.0000 0.5000 0.5000
# DFT formation energy: 0.88 eV/atom
# VASP energy: -7.39 eV per atom
# Spin magnetization: 8.9 μB per formula unit



Record 2
# GGA-PBE Ba3SnPd3, relaxed
data_Ba3SnPd3
_chemical_formula_sum 'Ba6 Sn2 Pd6'
_space_group_name_H-M_alt 'P 63/m'
_space_group_IT_number 176
_space_group_name_Hall '-P 6c'
_cell_length_a 9.5301
_cell_length_b 9.5301
_cell_length_c 6.4910
_cell_angle_alpha 90.00
_cell_angle_beta 90.00
_cell_angle_gamma 120.00
loop_
_atom_site_label
_atom_site_fract_x
_atom_site_fract_y
_atom_site_fract_z
Ba1 0.0638 0.6980 0.2500
Sn1 0.3333 0.6667 0.7500
Pd1 0.0687 0.6888 0.7500
# DFT formation energy: -0.45 eV/atom
# VASP energy: -4.07 eV per atom
# Spin magnetization: 0.0 μB per formula unit



Record 3
# GGA-PBE BiSBr, relaxed
data_BiSBr
_chemical_formula_sum 'Bi2 S2 Br2'
_space_group_name_H-M_alt 'P -1'
_space_group_IT_number 2
_cell_length_a 4.1266
_cell_length_b 7.2246
_cell_length_c 7.6376
_cell_angle_alpha 81.72
_cell_angle_beta 74.58
_cell_angle_gamma 89.99
loop_
_space_group_symop_operation_xyz
'x,y,z'
'-x,-y,-z'
loop_
_atom_site_label
_atom_site_fract_x
_atom_site_fract_y
_atom_site_fract_z
Bi1 0.0000 0.0000 0.0000
Bi2 0.5000 0.5000 0.0000
S1 0.0964 0.7064 0.8042
Br1 0.3763 0.8017 0.2513
# VASP energy: -3.62 eV per atom
# Spin magnetization: 0.0 μB per formula unit
# Formation energy from raw total energies: -397 meV/atom



Ρ (computed, g cm⁻³): 5.724, 5.529, 4.911